Material: LaTiAs2Se
Method: DFT, PBE-GGA
State: optimized geometry

Unit cell a=5.593 b=5.593 c=5.597 alpha=90.00 beta=90.00 gamma=90.00
Atoms (fractional coordinates):
La  0.000  0.000  0.000
Ti  0.500  0.500  0.500
As  0.000  0.500  0.000
As  0.500  0.000  0.000
Se  0.000  0.000  0.500

Properties
ΔE_f (raw) in eV/f.u.: 2.749
Total moment in μB/f.u.: 1.2
Volume in A^3/atom: 35.01
Excess energy over the best structure of this formula in the dataset in eV per formula unit: 7.235
Uncorrected energy in eV per atom: -4.57